CaAu | PBE-GGA | optimized geometry

Its total energy is -0.24075 Ry/atom. The crystal system is tetragonal. The calculated formation energy comes out at -0.636 eV per atom. The calculation puts the magnetic moment at 0.0 μB per cell. The calculation puts the density of states at the Fermi level at 1.2 states/eV/f.u.

Cell: 8.6601 8.6601 5.8409 Å, 90.00 90.00 90.00°
Space group I4/m (No. 87)
Symmetry-distinct sites (fractional):
Ca (0.0675, 0.2998, 0.0000) (multiplicity 8)
Au (0.0792, 0.2202, 0.5000) (multiplicity 8)



Er4Se3S | PBE-GGA | optimized geometry

Its total energy is -0.42859 Ry/atom. The crystal system is cubic. The calculation puts the magnetic moment at 0.0 μB per cell. As for the formation energy without anion corrections: -13.82 eV/f.u. The calculation puts the density of states at the Fermi level at 5.1 states/eV/f.u. Its polymorph energy (0 for the lowest one) is 0.037 eV per atom.

Cell: 5.6531 5.6531 5.6531 Å, 90.00 90.00 90.00°
Space group Pm-3m (No. 221)
Symmetry-distinct sites (fractional):
Er (0.0000, 0.0000, 0.0000) (multiplicity 1)
Er (0.0000, 0.5000, 0.5000) (multiplicity 3)
Se (0.0000, 0.0000, 0.5000) (multiplicity 3)
S (0.5000, 0.5000, 0.5000) (multiplicity 1)



NbN2O2 | PBE-GGA | optimized geometry

Its total energy is -0.53192 Ry/atom. The crystal system is tetragonal. The calculation puts the magnetic moment at 1.0 μB per cell. As for the formation energy without anion corrections: 0.45 eV/f.u. The calculation puts the density of states at the Fermi level at 2.0 states/eV/f.u. Its polymorph energy (0 for the lowest one) is 0.271 eV per atom.

Cell: 5.2387 5.2387 3.3932 Å, 90.00 90.00 90.00°
Space group P4/mbm (No. 127)
Symmetry-distinct sites (fractional):
Nb (0.0000, 0.0000, 0.0000) (multiplicity 2)
N (0.0787, 0.4213, 0.0000) (multiplicity 4)
O (0.2335, 0.7335, 0.5000) (multiplicity 4)



Copy entry 3 word for word.
NbN2O2 | PBE-GGA | optimized geometry

Its total energy is -0.53192 Ry/atom. The crystal system is tetragonal. The calculation puts the magnetic moment at 1.0 μB per cell. As for the formation energy without anion corrections: 0.45 eV/f.u. The calculation puts the density of states at the Fermi level at 2.0 states/eV/f.u. Its polymorph energy (0 for the lowest one) is 0.271 eV per atom.

Cell: 5.2387 5.2387 3.3932 Å, 90.00 90.00 90.00°
Space group P4/mbm (No. 127)
Symmetry-distinct sites (fractional):
Nb (0.0000, 0.0000, 0.0000) (multiplicity 2)
N (0.0787, 0.4213, 0.0000) (multiplicity 4)
O (0.2335, 0.7335, 0.5000) (multiplicity 4)



- Look up the magnetic moment of the second one.
  0.0 μB per cell